{"formula": "SrBeCd2", "functional": "PBE-GGA", "state": "optimized geometry", "total_magnetization_mub_per_cell": 0.000, "e_form_mev_per_atom": 148, "dos_at_fermi_per_ev_atom": 0.5060, "dft_energy_ev_per_cell": -6.64, "lattice": [[-1.833, 4.547, 1.842], [-4.858, -0.934, -1.720], [2.810, -2.911, 3.325]], "species": ["Cd", "Cd", "Sr", "Be"], "fractional_positions": [[0.045, 0.045, 0.000], [0.786, 0.286, 0.500], [0.489, 0.489, 0.000], [0.179, 0.679, 0.500]]}

---

{"formula": "SmInPb", "functional": "PBE-GGA", "state": "optimized geometry", "total_magnetization_mub_per_cell": 0.000, "e_form_mev_per_atom": -406, "dos_at_fermi_per_ev_atom": 0.6058, "e_above_lowest_polymorph_kj_per_mol_atoms": 0.0, "dft_energy_ev_per_cell": -24.77, "lattice": [[4.623, 0.000, 0.000], [-2.311, 5.533, 0.078], [0.000, -2.188, 6.562]], "species": ["Sm", "Sm", "In", "In", "Pb", "Pb"], "fractional_positions": [[0.645, 0.290, 0.816], [0.355, 0.710, 0.184], [0.682, 0.364, 0.332], [0.318, 0.636, 0.668], [0.000, 0.000, 0.500], [0.000, 0.000, 0.000]]}

---

{"formula": "In2Cu2Sn", "functional": "PBE-GGA", "state": "optimized geometry", "total_magnetization_mub_per_cell": 0.000, "e_form_mev_per_atom": 175, "dos_at_fermi_per_ev_atom": 0.4262, "dft_energy_ev_per_cell": -16.80, "lattice": [[-2.068, 1.378, 3.320], [-3.102, -2.620, -0.845], [0.075, -4.873, 4.660]], "species": ["In", "In", "Cu", "Cu", "Sn"], "fractional_positions": [[0.750, 0.250, 0.500], [0.250, 0.750, 0.500], [0.401, 0.401, 0.197], [0.599, 0.599, 0.803], [0.000, 0.000, 0.000]]}

---

{"formula": "DyAg3", "functional": "PBE-GGA", "state": "optimized geometry", "total_magnetization_mub_per_cell": 0.000, "e_form_mev_per_atom": -209, "dos_at_fermi_per_ev_atom": 0.6929, "dft_energy_ev_per_cell": -13.99, "lattice": [[4.485, 0.000, 0.000], [0.000, 4.478, 0.000], [-2.242, -2.239, 4.110]], "species": ["Ag", "Ag", "Ag", "Dy"], "fractional_positions": [[0.250, 0.667, 0.500], [0.500, 0.417, 0.000], [0.750, 0.167, 0.500], [0.000, 0.917, 0.000]]}

---

{"formula": "Al2FeTc2", "functional": "PBE-GGA", "state": "optimized geometry", "total_magnetization_mub_per_cell": 7.213, "e_form_mev_per_atom": -51, "dos_at_fermi_per_ev_atom": 0.8187, "e_above_lowest_polymorph_kj_per_mol_atoms": 0.0, "dft_energy_ev_per_cell": -73.87, "lattice": [[6.540, 0.000, 0.000], [0.000, 6.540, 0.000], [0.000, 0.000, 3.328]], "species": ["Al", "Al", "Al", "Al", "Fe", "Fe", "Tc", "Tc", "Tc", "Tc"], "fractional_positions": [[0.136, 0.364, 0.000], [0.864, 0.636, 0.000], [0.636, 0.136, 0.000], [0.364, 0.864, 0.000], [0.000, 0.000, 0.000], [0.500, 0.500, 0.000], [0.334, 0.166, 0.500], [0.166, 0.666, 0.500], [0.666, 0.834, 0.500], [0.834, 0.334, 0.500]]}

---

{"formula": "LiReRh2", "functional": "PBE-GGA", "state": "optimized geometry", "total_magnetization_mub_per_cell": 0.000, "e_form_mev_per_atom": 52, "dos_at_fermi_per_ev_atom": 1.2290, "dft_energy_ev_per_cell": -28.86, "lattice": [[4.532, 0.004, -0.021], [3.740, 2.559, -0.021], [0.564, 0.175, 4.781]], "species": ["Rh", "Rh", "Li", "Re"], "fractional_positions": [[0.999, 0.999, 0.998], [0.501, 0.501, 0.502], [0.750, 0.750, 0.750], [0.250, 0.250, 0.250]]}